## Mg6CdIn3 (PBE)

Data for Mg6CdIn3 after structural relaxation.

Output
As for the calculated formation energy: -79 meV/atom.

Cell lengths 5.1464, 8.4772, 11.2746 Å; angles 111.42, 90.00, 90.00 degrees
Positions (direct):
Mg 0.2500 0.4627 0.0705
Mg 0.7500 0.5373 0.9295
Mg 0.2500 0.1607 0.1690
Mg 0.7500 0.8393 0.8310
Mg 0.2500 0.6729 0.6730
Mg 0.7500 0.3271 0.3270
Mg 0.2500 0.2537 0.4738
Mg 0.7500 0.7463 0.5262
Mg 0.2500 0.8644 0.2804
Mg 0.7500 0.1356 0.7196
Mg 0.2500 0.0679 0.8658
Mg 0.7500 0.9321 0.1342
Cd 0.2500 0.9618 0.5746
Cd 0.7500 0.0382 0.4254
In 0.2500 0.5503 0.3744
In 0.7500 0.4497 0.6256
In 0.2500 0.3697 0.7735
In 0.7500 0.6303 0.2265
In 0.2500 0.7765 0.9771
In 0.7500 0.2235 0.0229

***

## Tc2MoPb (PBE)

Data for Tc2MoPb after structural relaxation.

Output
As for the calculated formation energy: 472 meV/atom.

Cell lengths 2.9520, 2.9520, 7.9442 Å; angles 90.00, 90.00, 90.03 degrees
Positions (direct):
Mo 0.0000 0.0000 0.4695
Pb 0.5000 0.5000 0.7572
Tc 0.0000 0.0000 0.0338
Tc 0.5000 0.5000 0.2395

***

## LiBSe2 (PBE)

Data for LiBSe2 after structural relaxation.

Output
As for the formation energy without anion corrections: -0.28 eV/atom.

Cell lengths 7.3325, 7.3325, 8.6609 Å; angles 90.00, 90.00, 141.56 degrees
Positions (direct):
B 0.0624 0.9376 0.2500
B 0.9376 0.0624 0.7500
Se 0.1908 0.8092 0.2500
Se 0.8092 0.1908 0.7500
Se 0.9293 0.0707 0.2500
Se 0.0707 0.9293 0.7500
Li 0.3781 0.6219 0.2500
Li 0.6219 0.3781 0.7500

***

## TlPIr2 (PBE)

Data for TlPIr2 after structural relaxation.

Output
As for the calculated formation energy: 322 meV/atom.

Cell lengths 5.3312, 5.3312, 5.3312 Å; angles 147.85, 115.40, 74.00 degrees
Positions (direct):
Ir 0.9533 0.9533 0.0000
Ir 0.5467 0.5467 0.0000
P 0.7500 0.2500 0.5000
Tl 0.2500 0.7500 0.5000

***

no.,N(E_F) (states/eV/f.u.)
1,3.54
2,3.40
3,0.00
4,1.93